AcAlCr2O6: optimized geometry, GGA+U.

**Space group**: No. 146
**V**: 11.57 Å³ per atom
**Final energy**: -7.73 eV per atom

abc: 5.6114 5.6114 5.6114
angles: 56.79 56.79 56.79
Last column: nearest neighbours and their distance in Å.
Fractional coordinates of all 10 atoms:
Ac1 0.0000 0.0000 0.0000  3 O 2.39
Al1 0.4535 0.4535 0.4535  6 O 1.97-2.00
Cr1 0.2528 0.2528 0.2528  6 O 2.03-2.08
Cr2 0.7655 0.7655 0.7655  6 O 1.99-2.09
O1 0.0521 0.5699 0.4533  1 Al 1.97, 2 Cr 1.99-2.08
O2 0.1706 0.5063 0.8568  1 Al 2.00, 2 Cr 2.03-2.09
O3 0.4533 0.0521 0.5699  1 Al 1.97, 2 Cr 1.99-2.08
O4 0.5063 0.8568 0.1706  1 Al 2.00, 2 Cr 2.03-2.09
O5 0.5699 0.4533 0.0521  1 Al 1.97, 2 Cr 1.99-2.08
O6 0.8568 0.1706 0.5063  1 Al 2.00, 2 Cr 2.03-2.09